VASP calculation (PBE) on a relaxed structure of Nd2ThSc4.

a b c (Å): 5.3680 5.3680 16.4808
angles (deg): 90.00 90.00 90.00
Sites, in units of the cell vectors:
Nd1 0.0000 0.0000 0.1238
Nd2 0.0000 0.0000 0.8762
Nd3 0.5000 0.5000 0.3762
Nd4 0.5000 0.5000 0.6238
Th1 0.0000 0.0000 0.5000
Th2 0.5000 0.5000 0.0000
Sc1 0.0000 0.0000 0.3265
Sc2 0.0000 0.0000 0.6735
Sc3 0.0000 0.5000 0.0000
Sc4 0.0000 0.5000 0.5000
Sc5 0.5000 0.0000 0.0000
Sc6 0.5000 0.0000 0.5000
Sc7 0.5000 0.5000 0.1735
Sc8 0.5000 0.5000 0.8265

* VASP energy: -74.06 eV per cell
* formation energy from the elements: 0.7500 eV per atom

VASP calculation (PBE) on a relaxed structure of NdTh6Sc12.

a b c (Å): 8.7380 8.7380 8.7380
angles (deg): 105.41 105.41 105.41
Sites, in units of the cell vectors:
Nd1 0.0000 0.0000 0.0000
Th1 0.2912 0.6834 0.6834
Th2 0.3166 0.3166 0.7088
Th3 0.3166 0.7088 0.3166
Th4 0.6834 0.2912 0.6834
Th5 0.6834 0.6834 0.2912
Th6 0.7088 0.3166 0.3166
Sc1 0.1024 0.3399 0.3399
Sc2 0.1090 0.5000 0.8910
Sc3 0.1090 0.8910 0.5000
Sc4 0.3399 0.1024 0.3399
Sc5 0.3399 0.3399 0.1024
Sc6 0.5000 0.1090 0.8910
Sc7 0.5000 0.8910 0.1090
Sc8 0.6601 0.6601 0.8976
Sc9 0.6601 0.8976 0.6601
Sc10 0.8910 0.1090 0.5000
Sc11 0.8910 0.5000 0.1090
Sc12 0.8976 0.6601 0.6601

* VASP energy: -115.19 eV per cell
* formation energy from the elements: 0.5304 eV per atom

VASP calculation (PBE) on a relaxed structure of Nd3ThSc.

a b c (Å): 13.8466 13.8466 13.8466
angles (deg): 158.94 48.23 137.14
Sites, in units of the cell vectors:
Nd1 0.0217 0.8727 0.1490
Nd2 0.1698 0.1253 0.0444
Nd3 0.2237 0.8727 0.3510
Nd4 0.2740 0.6231 0.6510
Nd5 0.4191 0.8747 0.5444
Nd6 0.4721 0.6231 0.8490
Nd7 0.5279 0.3769 0.1510
Nd8 0.5809 0.1253 0.4556
Nd9 0.7260 0.3769 0.3490
Nd10 0.7763 0.1273 0.6490
Nd11 0.8302 0.8747 0.9556
Nd12 0.9783 0.1273 0.8510
Th1 0.1237 0.3737 0.7500
Th2 0.3735 0.1235 0.2500
Th3 0.6265 0.8765 0.7500
Th4 0.8763 0.6263 0.2500
Sc1 0.0792 0.6259 0.4533
Sc2 0.3274 0.3741 0.9533
Sc3 0.6726 0.6259 0.0467
Sc4 0.9208 0.3741 0.5467

* VASP energy: -111.00 eV per cell
* formation energy from the elements: 0.0612 eV per atom